First-principles (GGA-PBE) data for an optimized crystal structure of ScZn6Cu6, as listed in Alexandria.

Its formation energy is -155 meV/atom. The calculation puts the total energy at -81.14 eV per cell.

It has space group Immm (No. 71), with a = 4.944 Å, b = 8.526 Å, c = 8.693 Å, α = 90.00°, β = 90.00° and γ = 90.00°. The asymmetric unit holds Sc at (0.000, 0.000, 0.000), Zn at (0.000, 0.000, 0.346), Zn at (0.000, 0.342, 0.000), Zn at (0.000, 0.500, 0.306), Cu at (0.000, 0.274, 0.500) and Cu at (0.250, 0.250, 0.250).